DFT (PBE-GGA) results for crystalline Pu2UAg at its relaxed geometry.

As for the crystal system: tetragonal. For the formation energy, the calculation gives 74 kJ/mol of formula units. Its relative energy among the computed polymorphs is 0.0000 eV per atom.

The structure belongs to space group P4/mmm (No. 123); the cell edges are 5.368, 5.368 and 3.007 Å and the angles 90.00°, 90.00° and 90.00°. The inequivalent atoms are Pu at (0.000, 0.500, 0.000), U at (0.000, 0.000, 0.500) and Ag at (0.500, 0.500, 0.500).